# 1
# Li2TlP (PBE, relaxed)
# SG: C2/m
# E_form, eV per atom: -0.27
# Distance to the lowest polymorph of the same formula, meV per atom: 66
data_Li2TlP
_cell_length_a 4.2635
_cell_length_b 4.2635
_cell_length_c 6.3591
_cell_angle_alpha 97.83
_cell_angle_beta 97.83
_cell_angle_gamma 42.32
_space_group_name_H-M_alt 'P 1'
_space_group_IT_number 1
_space_group_name_Hall 'P 1'
loop_
_atom_site_label
_atom_site_type_symbol
_atom_site_fract_x
_atom_site_fract_y
_atom_site_fract_z
_atom_site_occupancy
Li1 Li 0.2319 0.2319 0.1688 1
Li2 Li 0.7681 0.7681 0.8312 1
Tl1 Tl 0.0000 0.0000 0.5000 1
P1 P 0.5000 0.5000 0.0000 1

# 2
# Ca2As2Br (PBE, relaxed)
# SG: P4/mbm
# Distance to the lowest polymorph of the same formula, meV per atom: 0
# Energy relative to the elements, uncorrected, eV per atom: -1.11
data_Ca2As2Br
_cell_length_a 7.9764
_cell_length_b 7.9764
_cell_length_c 4.1675
_cell_angle_alpha 90.00
_cell_angle_beta 90.00
_cell_angle_gamma 90.00
_space_group_name_H-M_alt 'P 1'
_space_group_IT_number 1
_space_group_name_Hall 'P 1'
loop_
_atom_site_label
_atom_site_type_symbol
_atom_site_fract_x
_atom_site_fract_y
_atom_site_fract_z
_atom_site_occupancy
Ca1 Ca 0.1781 0.3219 0.0000 1
Ca2 Ca 0.3219 0.8219 0.0000 1
Ca3 Ca 0.6781 0.1781 0.0000 1
Ca4 Ca 0.8219 0.6781 0.0000 1
As1 As 0.1070 0.6070 0.5000 1
As2 As 0.3930 0.1070 0.5000 1
As3 As 0.6070 0.8930 0.5000 1
As4 As 0.8930 0.3930 0.5000 1
Br1 Br 0.0000 0.0000 0.0000 1
Br2 Br 0.5000 0.5000 0.0000 1

# 3
# LiBiPb2 (PBE, relaxed)
# SG: R-3m
# E_form, eV per atom: 0.09
data_LiBiPb2
_cell_length_a 12.0562
_cell_length_b 12.0562
_cell_length_c 12.0562
_cell_angle_alpha 16.38
_cell_angle_beta 16.38
_cell_angle_gamma 16.38
_space_group_name_H-M_alt 'P 1'
_space_group_IT_number 1
_space_group_name_Hall 'P 1'
loop_
_atom_site_label
_atom_site_type_symbol
_atom_site_fract_x
_atom_site_fract_y
_atom_site_fract_z
_atom_site_occupancy
Li1 Li 0.0000 0.0000 0.0000 1
Bi1 Bi 0.5000 0.5000 0.5000 1
Pb1 Pb 0.0824 0.0824 0.0824 1
Pb2 Pb 0.9176 0.9176 0.9176 1

# 4
# CaLa3Ru (PBE, relaxed)
# SG: Pnma
# E_form, eV per atom: -0.12
# Distance to the lowest polymorph of the same formula, meV per atom: 48
data_CaLa3Ru
_cell_length_a 6.3749
_cell_length_b 10.2495
_cell_length_c 10.0489
_cell_angle_alpha 90.00
_cell_angle_beta 90.00
_cell_angle_gamma 90.00
_space_group_name_H-M_alt 'P 1'
_space_group_IT_number 1
_space_group_name_Hall 'P 1'
loop_
_atom_site_label
_atom_site_type_symbol
_atom_site_fract_x
_atom_site_fract_y
_atom_site_fract_z
_atom_site_occupancy
Ca1 Ca 0.2256 0.2500 0.1569 1
Ca2 Ca 0.2744 0.7500 0.6569 1
Ca3 Ca 0.7256 0.2500 0.3431 1
Ca4 Ca 0.7744 0.7500 0.8431 1
La1 La 0.1586 0.0504 0.8491 1
La2 La 0.1586 0.4496 0.8491 1
La3 La 0.1674 0.2500 0.5458 1
La4 La 0.3326 0.7500 0.0458 1
La5 La 0.3414 0.5504 0.3491 1
La6 La 0.3414 0.9496 0.3491 1
La7 La 0.6586 0.0504 0.6509 1
La8 La 0.6586 0.4496 0.6509 1
La9 La 0.6674 0.2500 0.9542 1
La10 La 0.8326 0.7500 0.4542 1
La11 La 0.8414 0.5504 0.1509 1
La12 La 0.8414 0.9496 0.1509 1
Ru1 Ru 0.0000 0.0000 0.5000 1
Ru2 Ru 0.0000 0.5000 0.5000 1
Ru3 Ru 0.5000 0.0000 0.0000 1
Ru4 Ru 0.5000 0.5000 0.0000 1

# 5
# BaMgNiP (PBE, relaxed)
# SG: P4/nmm
# E_form, eV per atom: -0.49
data_BaMgNiP
_cell_length_a 4.0684
_cell_length_b 4.0684
_cell_length_c 12.3445
_cell_angle_alpha 90.00
_cell_angle_beta 90.00
_cell_angle_gamma 90.00
_space_group_name_H-M_alt 'P 1'
_space_group_IT_number 1
_space_group_name_Hall 'P 1'
loop_
_atom_site_label
_atom_site_type_symbol
_atom_site_fract_x
_atom_site_fract_y
_atom_site_fract_z
_atom_site_occupancy
Ba1 Ba 0.2500 0.2500 0.2162 1
Ba2 Ba 0.7500 0.7500 0.7838 1
Mg1 Mg 0.2500 0.7500 0.5000 1
Mg2 Mg 0.7500 0.2500 0.5000 1
Ni1 Ni 0.2500 0.7500 0.0000 1
Ni2 Ni 0.7500 0.2500 0.0000 1
P1 P 0.2500 0.2500 0.9144 1
P2 P 0.7500 0.7500 0.0856 1

# 6
# TlAs2Ru (PBE, relaxed)
# SG: Pm
# E_form, eV per atom: 0.22
# Distance to the lowest polymorph of the same formula, meV per atom: 253
data_TlAs2Ru
_cell_length_a 3.9712
_cell_length_b 3.7913
_cell_length_c 6.1065
_cell_angle_alpha 90.00
_cell_angle_beta 106.29
_cell_angle_gamma 90.00
_space_group_name_H-M_alt 'P 1'
_space_group_IT_number 1
_space_group_name_Hall 'P 1'
loop_
_atom_site_label
_atom_site_type_symbol
_atom_site_fract_x
_atom_site_fract_y
_atom_site_fract_z
_atom_site_occupancy
Tl1 Tl 0.0000 0.0000 0.0000 1
As1 As 0.2092 0.5000 0.4898 1
As2 As 0.6542 0.0000 0.4904 1
Ru1 Ru 0.6176 0.5000 0.2217 1

# 7
# MgMnIn2 (PBE, relaxed)
# SG: P4mm
# E_form, eV per atom: 0.17
data_MgMnIn2
_cell_length_a 3.7685
_cell_length_b 3.7685
_cell_length_c 5.9473
_cell_angle_alpha 90.00
_cell_angle_beta 90.00
_cell_angle_gamma 90.00
_space_group_name_H-M_alt 'P 1'
_space_group_IT_number 1
_space_group_name_Hall 'P 1'
loop_
_atom_site_label
_atom_site_type_symbol
_atom_site_fract_x
_atom_site_fract_y
_atom_site_fract_z
_atom_site_occupancy
Mg1 Mg 0.0000 0.0000 0.0000 1
Mn1 Mn 0.5000 0.5000 0.2455 1
In1 In 0.0000 0.0000 0.4731 1
In2 In 0.5000 0.5000 0.7517 1

# 8
# Li2AcSc (PBE, relaxed)
# SG: P4/mmm
# E_form, eV per atom: 0.19
# Distance to the lowest polymorph of the same formula, meV per atom: 0
data_Li2AcSc
_cell_length_a 3.7752
_cell_length_b 3.7752
_cell_length_c 7.5127
_cell_angle_alpha 90.00
_cell_angle_beta 90.00
_cell_angle_gamma 90.00
_space_group_name_H-M_alt 'P 1'
_space_group_IT_number 1
_space_group_name_Hall 'P 1'
loop_
_atom_site_label
_atom_site_type_symbol
_atom_site_fract_x
_atom_site_fract_y
_atom_site_fract_z
_atom_site_occupancy
Li1 Li 0.0000 0.0000 0.2119 1
Li2 Li 0.0000 0.0000 0.7881 1
Ac1 Ac 0.5000 0.5000 0.5000 1
Sc1 Sc 0.5000 0.5000 0.0000 1

# 9
# Ba3Li4Au4 (PBE, relaxed)
# SG: Immm
# E_form, eV per atom: -0.54
# Distance to the lowest polymorph of the same formula, meV per atom: 0
data_Ba3Li4Au4
_cell_length_a 9.1692
_cell_length_b 9.1692
_cell_length_c 9.1692
_cell_angle_alpha 151.03
_cell_angle_beta 127.85
_cell_angle_gamma 60.76
_space_group_name_H-M_alt 'P 1'
_space_group_IT_number 1
_space_group_name_Hall 'P 1'
loop_
_atom_site_label
_atom_site_type_symbol
_atom_site_fract_x
_atom_site_fract_y
_atom_site_fract_z
_atom_site_occupancy
Ba1 Ba 0.0000 0.0000 0.0000 1
Ba2 Ba 0.3733 0.8733 0.5000 1
Ba3 Ba 0.6267 0.1267 0.5000 1
Li1 Li 0.0094 0.3225 0.6869 1
Li2 Li 0.3644 0.6775 0.6869 1
Li3 Li 0.6356 0.3225 0.3131 1
Li4 Li 0.9906 0.6775 0.3131 1
Au1 Au 0.2153 0.2153 0.0000 1
Au2 Au 0.3094 0.5000 0.8094 1
Au3 Au 0.6906 0.5000 0.1906 1
Au4 Au 0.7847 0.7847 0.0000 1

# 10
# Ag3HgAu5 (PBE, relaxed)
# SG: I4/mcm
# E_form, eV per atom: 0.24
data_Ag3HgAu5
_cell_length_a 8.0175
_cell_length_b 8.0175
_cell_length_c 8.0175
_cell_angle_alpha 118.03
_cell_angle_beta 118.03
_cell_angle_gamma 93.44
_space_group_name_H-M_alt 'P 1'
_space_group_IT_number 1
_space_group_name_Hall 'P 1'
loop_
_atom_site_label
_atom_site_type_symbol
_atom_site_fract_x
_atom_site_fract_y
_atom_site_fract_z
_atom_site_occupancy
Ag1 Ag 0.1098 0.6098 0.7197 1
Ag2 Ag 0.2500 0.2500 0.0000 1
Ag3 Ag 0.3902 0.1098 0.5000 1
Ag4 Ag 0.6098 0.8902 0.5000 1
Ag5 Ag 0.7500 0.7500 0.0000 1
Ag6 Ag 0.8902 0.3902 0.2803 1
Hg1 Hg 0.2500 0.7500 0.5000 1
Hg2 Hg 0.7500 0.2500 0.5000 1
Au1 Au 0.0000 0.0000 0.0000 1
Au2 Au 0.0704 0.1650 0.5000 1
Au3 Au 0.1650 0.6650 0.0946 1
Au4 Au 0.3350 0.4296 0.5000 1
Au5 Au 0.4296 0.9296 0.0946 1
Au6 Au 0.5000 0.5000 0.0000 1
Au7 Au 0.5704 0.0704 0.9054 1
Au8 Au 0.6650 0.5704 0.5000 1
Au9 Au 0.8350 0.3350 0.9054 1
Au10 Au 0.9296 0.8350 0.5000 1

# 11
# NiPb2W (PBE, relaxed)
# SG: Imm2
# E_form, eV per atom: 0.73
# Distance to the lowest polymorph of the same formula, meV per atom: 335
data_NiPb2W
_cell_length_a 6.1717
_cell_length_b 6.1717
_cell_length_c 6.1717
_cell_angle_alpha 151.21
_cell_angle_beta 132.64
_cell_angle_gamma 56.38
_space_group_name_H-M_alt 'P 1'
_space_group_IT_number 1
_space_group_name_Hall 'P 1'
loop_
_atom_site_label
_atom_site_type_symbol
_atom_site_fract_x
_atom_site_fract_y
_atom_site_fract_z
_atom_site_occupancy
Ni1 Ni 0.0000 0.0000 0.0000 1
Pb1 Pb 0.4641 0.4641 0.0000 1
Pb2 Pb 0.7581 0.2581 0.5000 1
W1 W 0.1773 0.6773 0.5000 1

# 12
# LaCrIr2 (PBE, relaxed)
# SG: Cmmm
# E_form, eV per atom: 0.01
# Distance to the lowest polymorph of the same formula, meV per atom: 235
data_LaCrIr2
_cell_length_a 4.8881
_cell_length_b 4.8881
_cell_length_c 3.1467
_cell_angle_alpha 90.00
_cell_angle_beta 90.00
_cell_angle_gamma 101.73
_space_group_name_H-M_alt 'P 1'
_space_group_IT_number 1
_space_group_name_Hall 'P 1'
loop_
_atom_site_label
_atom_site_type_symbol
_atom_site_fract_x
_atom_site_fract_y
_atom_site_fract_z
_atom_site_occupancy
La1 La 0.0000 0.0000 0.0000 1
Cr1 Cr 0.5000 0.5000 0.0000 1
Ir1 Ir 0.0000 0.5000 0.5000 1
Ir2 Ir 0.5000 0.0000 0.5000 1

| no. | ρ (Mg/m³) | magnetization (μB/f.u.) |
| --- | --- | --- |
| 1 | 5.38 | 0.00 |
| 2 | 3.88 | 0.55 |
| 3 | 8.61 | 0.00 |
| 4 | 5.64 | 0.00 |
| 5 | 4.08 | 0.00 |
| 6 | 8.57 | 0.00 |
| 7 | 6.07 | 3.41 |
| 8 | 4.43 | 0.00 |
| 9 | 6.97 | 0.00 |
| 10 | 13.38 | 0.00 |
| 11 | 13.18 | 0.00 |
| 12 | 12.98 | 3.39 |